Entry 1:
Material: Ca2SnSe
Method: DFT, PBE
State: relaxed

Structure (POSCAR):
```
Ca2SnSe
1.0
-1.861 -7.074 -3.597
7.719 -0.754 -2.510
3.757 -5.701 0.031
Ca Sn Se
4 2 2
Direct
0.875 0.841 0.750
0.375 0.409 0.750
0.159 0.625 0.250
0.591 0.125 0.250
0.750 0.250 0.500
0.000 0.000 0.000
0.250 0.750 0.500
0.500 0.500 0.000
```

## Properties
polymorph energy (0 for the lowest one)	336.3	meV/atom
spin magnetization	0.00	μB/f.u.
space group	No. 122


Entry 2:
Material: Tb6SiO12
Method: DFT, PBE
State: relaxed

Structure (POSCAR):
```
Tb6SiO12
1.0
6.430 -0.006 -0.007
-0.981 6.355 -0.007
-0.981 -1.143 6.251
Tb O Si
6 12 1
Direct
0.608 0.296 0.139
0.139 0.608 0.296
0.704 0.861 0.392
0.392 0.704 0.861
0.296 0.139 0.608
0.861 0.392 0.704
0.030 0.718 0.934
0.066 0.970 0.282
0.408 0.823 0.558
0.177 0.442 0.592
0.718 0.934 0.030
0.934 0.030 0.718
0.592 0.177 0.442
0.282 0.066 0.970
0.442 0.592 0.177
0.558 0.408 0.823
0.823 0.558 0.408
0.970 0.282 0.066
0.000 0.000 0.000
```

## Properties
spin magnetization	2.15	μB/f.u.
VASP energy	-8.02	eV per atom
space group	No. 148


Entry 3:
Material: Ac2Mg5Sn3
Method: DFT, PBE
State: relaxed

Structure (POSCAR):
```
Ac2Mg5Sn3
1.0
-1.940 0.010 -4.256
1.434 -4.402 -0.664
-11.423 -4.506 5.196
Sn Mg Ac
3 5 2
Direct
0.000 0.000 0.500
0.000 0.500 0.346
0.500 0.000 0.654
0.000 0.500 0.136
0.500 0.500 0.500
0.500 0.500 0.000
0.000 0.000 0.000
0.500 0.000 0.864
0.500 0.000 0.253
0.000 0.500 0.747
```

## Properties
polymorph energy (0 for the lowest one)	156.4	meV/atom
spin magnetization	0.00	μB/f.u.
DFT formation energy	-209	meV/atom
space group	No. 115


Entry 4:
Material: Mo2WAu
Method: DFT, PBE
State: relaxed

Structure (POSCAR):
```
Mo2WAu
1.0
4.598 0.000 0.000
0.000 2.715 -0.129
0.000 1.028 5.216
Mo W Au
2 1 1
Direct
0.000 0.028 0.998
0.500 0.273 0.264
0.000 0.577 0.478
0.500 0.622 0.759
```

## Properties
polymorph energy (0 for the lowest one)	123.3	meV/atom
spin magnetization	0.00	μB/f.u.
DFT formation energy	271	meV/atom
space group	No. 6


Entry 5:
Material: BeOsI2N
Method: DFT, PBE
State: relaxed

Structure (POSCAR):
```
BeOsI2N
1.0
-4.130 -0.100 3.261
2.020 -4.209 2.429
1.520 1.873 1.982
N I Os Be
1 2 1 1
Direct
0.000 0.000 0.500
0.500 0.000 0.000
0.000 0.500 0.000
0.500 0.500 0.500
0.000 0.000 0.000
```

## Properties
polymorph energy (0 for the lowest one)	334.0	meV/atom
spin magnetization	0.00	μB/f.u.
space group	No. 123


Entry 6:
Material: Ti2Ni3Pt
Method: DFT, PBE
State: relaxed

Structure (POSCAR):
```
Ti2Ni3Pt
1.0
4.332 0.000 0.000
-2.166 6.479 -0.607
0.000 -3.710 6.053
Ni Pt Ti
6 2 4
Direct
0.710 0.420 0.407
0.290 0.580 0.593
0.039 0.079 0.379
0.961 0.921 0.621
0.616 0.233 0.631
0.384 0.767 0.369
0.865 0.729 0.884
0.135 0.271 0.116
0.479 0.958 0.165
0.799 0.599 0.177
0.201 0.401 0.823
0.521 0.042 0.835
```

## Properties
polymorph energy (0 for the lowest one)	0.0	meV/atom
spin magnetization	0.00	μB/f.u.
DFT formation energy	-448	meV/atom
space group	No. 12


Entry 7:
Material: La2Pd5Au
Method: DFT, PBE
State: relaxed

Structure (POSCAR):
```
La2Pd5Au
1.0
-1.791 5.717 0.046
-3.947 -4.249 -1.504
1.230 -2.681 5.215
Pd La Au
5 2 1
Direct
0.500 0.778 0.778
0.000 0.778 0.278
0.500 0.278 0.278
0.000 0.278 0.278
0.000 0.278 0.778
0.500 0.778 0.278
0.500 0.278 0.778
0.000 0.778 0.778
```

## Properties
spin magnetization	0.00	μB/f.u.
DFT formation energy	-787	meV/atom
space group	No. 139


Entry 8:
Material: BC3
Method: DFT, PBE
State: relaxed

Structure (POSCAR):
```
BC3
1.0
-0.994 1.277 1.945
-1.306 -3.902 1.894
2.990 -0.194 1.663
C B
3 1
Direct
0.000 0.783 0.500
0.500 0.255 0.500
0.000 0.093 0.500
0.500 0.596 0.500
```

## Properties
polymorph energy (0 for the lowest one)	64.5	meV/atom
spin magnetization	0.00	μB/f.u.
DFT formation energy	305	meV/atom
space group	No. 3


Entry 9:
Material: NaAs2Br
Method: DFT, PBE
State: relaxed

Structure (POSCAR):
```
NaAs2Br
1.0
3.935 0.000 0.000
0.000 3.935 0.000
1.968 1.968 18.703
Na As Br
2 4 2
Direct
0.500 0.500 0.000
0.250 0.750 0.500
0.058 0.625 0.250
0.692 0.125 0.250
0.875 0.942 0.750
0.375 0.308 0.750
0.750 0.250 0.500
0.000 0.000 0.000
```

## Properties
polymorph energy (0 for the lowest one)	0.0	meV/atom
spin magnetization	0.00	μB/f.u.
space group	No. 122


Entry 10:
Material: CoSnGe2Bi
Method: DFT, PBE
State: relaxed

Structure (POSCAR):
```
CoSnGe2Bi
1.0
4.523 0.000 0.000
0.000 5.625 0.000
0.000 0.000 4.523
Ge Sn Bi Co
2 1 1 1
Direct
0.000 0.000 0.500
0.500 0.000 0.000
0.500 0.500 0.500
0.000 0.500 0.000
0.000 0.000 0.000
```

## Properties
spin magnetization	0.00	μB/f.u.
DFT formation energy	185	meV/atom
space group	No. 123


Entry 11:
Material: SrFeCu2
Method: DFT, PBE
State: relaxed

Structure (POSCAR):
```
SrFeCu2
1.0
-3.644 0.687 4.159
-2.983 -4.448 1.538
5.040 2.309 -0.556
Cu Sr Fe
2 1 1
Direct
0.963 0.963 0.000
0.754 0.254 0.500
0.247 0.747 0.500
0.537 0.537 0.000
```

## Properties
spin magnetization	2.68	μB/f.u.
DFT formation energy	531	meV/atom
space group	No. 44


Entry 12:
Material: Dy2HoTe2
Method: DFT, PBE
State: relaxed

Structure (POSCAR):
```
Dy2HoTe2
1.0
4.685 -0.169 0.030
1.079 4.562 0.030
1.278 0.974 6.973
Ho Te Dy
1 2 2
Direct
0.000 0.000 0.000
0.678 0.678 0.797
0.322 0.322 0.203
0.753 0.247 0.500
0.247 0.753 0.500
```

## Properties
spin magnetization	0.00	μB/f.u.
VASP energy	-4.70	eV per atom
space group	No. 12